[1]
Density functional theory data (GGA-PBE) for crystalline Tb12Pm3Al at its relaxed geometry.

abc: 4.974 4.974 20.199
angles: 90.00 90.00 90.00
Sites, in units of the cell vectors:
Tb: 0.000 0.000 0.000
Tb: 0.000 0.000 0.242
Tb: 0.000 0.000 0.500
Tb: 0.000 0.000 0.758
Tb: 0.000 0.500 0.116
Tb: 0.000 0.500 0.372
Tb: 0.000 0.500 0.628
Tb: 0.000 0.500 0.884
Tb: 0.500 0.000 0.116
Tb: 0.500 0.000 0.372
Tb: 0.500 0.000 0.628
Tb: 0.500 0.000 0.884
Pm: 0.500 0.500 0.246
Pm: 0.500 0.500 0.500
Pm: 0.500 0.500 0.754
Al: 0.500 0.500 0.000

Computed properties:
Its density of states at the Fermi level is 21.2 states/eV/f.u. As for the energy: -4.61 eV/atom.


[2]
Density functional theory data (GGA-PBE) for crystalline NaTl2Sb at its relaxed geometry.

abc: 7.250 7.250 7.250
angles: 100.64 100.64 129.11
Sites, in units of the cell vectors:
Na: 0.000 0.000 0.000
Na: 0.750 0.250 0.500
Tl: 0.171 0.125 0.546
Tl: 0.375 0.829 0.954
Tl: 0.579 0.625 0.454
Tl: 0.875 0.421 0.046
Sb: 0.250 0.750 0.500
Sb: 0.500 0.500 0.000

Computed properties:
Its density of states at the Fermi level is 2.5 states/eV/f.u. As for the energy: -2.61 eV/atom.


[3]
Density functional theory data (GGA-PBE) for crystalline TiCd2Au at its relaxed geometry.

abc: 3.027 3.027 8.374
angles: 90.00 90.00 90.00
Sites, in units of the cell vectors:
Ti: 0.000 0.000 0.000
Cd: 0.500 0.500 0.251
Cd: 0.500 0.500 0.749
Au: 0.000 0.000 0.500

Computed properties:
Its density of states at the Fermi level is 2.2 states/eV/f.u. As for the energy: -3.32 eV/atom.


[4]
Density functional theory data (GGA-PBE) for crystalline Tb2YEr4Mg at its relaxed geometry.

abc: 4.928 4.939 9.962
angles: 90.00 90.00 90.00
Sites, in units of the cell vectors:
Tb: 0.000 0.000 0.000
Tb: 0.500 0.500 0.500
Y: 0.000 0.000 0.500
Er: 0.000 0.500 0.248
Er: 0.000 0.500 0.752
Er: 0.500 0.000 0.248
Er: 0.500 0.000 0.752
Mg: 0.500 0.500 0.000

Computed properties:
Its density of states at the Fermi level is 12.1 states/eV/f.u. As for the energy: -4.42 eV/atom.


[5]
Density functional theory data (GGA-PBE) for crystalline AcBeIrN at its relaxed geometry.

abc: 3.913 3.913 8.396
angles: 90.00 90.00 90.00
Sites, in units of the cell vectors:
Ac: 0.250 0.250 0.169
Ac: 0.750 0.750 0.831
Be: 0.250 0.250 0.662
Be: 0.750 0.750 0.338
Ir: 0.250 0.750 0.500
Ir: 0.750 0.250 0.500
N: 0.250 0.250 0.857
N: 0.750 0.750 0.143

Computed properties:
Its density of states at the Fermi level is 1.1 states/eV/f.u. As for the energy: -7.16 eV/atom.


[6]
Density functional theory data (GGA-PBE) for crystalline Cd2TeP at its relaxed geometry.

abc: 10.583 10.583 10.583
angles: 17.86 17.86 17.86
Sites, in units of the cell vectors:
Cd: 0.000 0.000 0.000
Cd: 0.257 0.257 0.257
Te: 0.507 0.507 0.507
P: 0.729 0.729 0.729

Computed properties:
Its density of states at the Fermi level is 2.3 states/eV/f.u. As for the energy: -2.22 eV/atom.


[7]
Density functional theory data (GGA-PBE) for crystalline Tm3Ag2Pb at its relaxed geometry.

abc: 8.189 8.189 3.708
angles: 90.00 90.00 143.54
Sites, in units of the cell vectors:
Tm: 0.000 0.000 0.000
Tm: 0.327 0.673 0.000
Tm: 0.673 0.327 0.000
Ag: 0.171 0.829 0.500
Ag: 0.829 0.171 0.500
Pb: 0.500 0.500 0.500

Computed properties:
Its density of states at the Fermi level is 4.1 states/eV/f.u. As for the energy: -4.15 eV/atom.


[8]
Density functional theory data (GGA-PBE) for crystalline Nb2TcW6 at its relaxed geometry.

abc: 4.587 5.424 6.856
angles: 79.90 70.47 89.93
Sites, in units of the cell vectors:
Nb: 0.103 0.481 0.294
Nb: 0.897 0.519 0.706
Tc: 0.000 0.000 0.500
W: 0.292 0.339 0.915
W: 0.305 0.859 0.888
W: 0.496 0.253 0.508
W: 0.504 0.747 0.492
W: 0.695 0.141 0.112
W: 0.708 0.661 0.085

Computed properties:
Its density of states at the Fermi level is 7.4 states/eV/f.u. As for the energy: -11.56 eV/atom.


[9]
Density functional theory data (GGA-PBE) for crystalline Sr2YCl at its relaxed geometry.

abc: 6.181 6.181 6.181
angles: 60.00 60.00 60.00
Sites, in units of the cell vectors:
Sr: 0.250 0.250 0.250
Sr: 0.750 0.750 0.750
Y: 0.000 0.000 0.000
Cl: 0.500 0.500 0.500

Computed properties:
Its density of states at the Fermi level is 2.7 states/eV/f.u. As for the energy: -2.95 eV/atom.


[10]
Density functional theory data (GGA-PBE) for crystalline La2Ho3Ni2 at its relaxed geometry.

abc: 6.450 6.450 9.134
angles: 115.49 115.49 32.77
Sites, in units of the cell vectors:
La: 0.167 0.167 0.310
La: 0.833 0.833 0.690
Ho: 0.382 0.382 0.071
Ho: 0.500 0.500 0.500
Ho: 0.618 0.618 0.929
Ni: 0.168 0.168 0.741
Ni: 0.832 0.832 0.259

Computed properties:
Its density of states at the Fermi level is 8.2 states/eV/f.u. As for the energy: -5.27 eV/atom.


[11]
Density functional theory data (GGA-PBE) for crystalline Tm4Sc2Pb at its relaxed geometry.

abc: 5.326 6.659 11.391
angles: 90.00 103.52 90.00
Sites, in units of the cell vectors:
Tm: 0.071 0.250 0.143
Tm: 0.213 0.750 0.425
Tm: 0.355 0.509 0.709
Tm: 0.355 0.991 0.709
Tm: 0.645 0.009 0.291
Tm: 0.645 0.491 0.291
Tm: 0.787 0.250 0.575
Tm: 0.929 0.750 0.857
Sc: 0.217 0.250 0.434
Sc: 0.490 0.250 0.980
Sc: 0.510 0.750 0.020
Sc: 0.783 0.750 0.566
Pb: 0.074 0.750 0.148
Pb: 0.926 0.250 0.852

Computed properties:
Its density of states at the Fermi level is 11.6 states/eV/f.u. As for the energy: -4.95 eV/atom.


[12]
Density functional theory data (GGA-PBE) for crystalline CeHoI6 at its relaxed geometry.

abc: 8.036 8.036 7.825
angles: 92.17 92.17 119.38
Sites, in units of the cell vectors:
Ce: 0.000 0.000 0.000
Ho: 0.000 0.000 0.500
I: 0.001 0.701 0.726
I: 0.297 0.297 0.761
I: 0.299 0.999 0.274
I: 0.701 0.001 0.726
I: 0.703 0.703 0.239
I: 0.999 0.299 0.274

Computed properties:
Its density of states at the Fermi level is 5.4 states/eV/f.u. As for the energy: -3.82 eV/atom.